A plane-wave DFT calculation with PBE was carried out for Th5Zn4Au after structural relaxation.

Output
Energy (eV/atom): -4.80
Size of the total moment (μB per atom): 0.00
Formation energy (meV/atom): -252

a = 3.6691 Å, b = 3.6691 Å, c = 18.4887 Å
α = 90.00°, β = 90.00°, γ = 90.00°
With the nearest neighbours (Å) after each atom.
Space group P4/mmm (No. 123)
Unique sites:
Th  0.0000  0.0000  0.0000 [1 per cell]  8 Zn 3.17
Th  0.0000  0.0000  0.1973 [2 per cell]  8 Zn 3.17-3.18
Th  0.0000  0.0000  0.3964 [2 per cell]  4 Zn 3.19, 4 Au 3.22
Zn  0.5000  0.5000  0.0988 [2 per cell]  8 Th 3.17
Zn  0.5000  0.5000  0.2963 [2 per cell]  8 Th 3.18-3.19
Au  0.5000  0.5000  0.5000 [1 per cell]  8 Th 3.22